Density functional theory data (GGA-PBE) for a relaxed Cs2KTeCl crystal.

* symmetry: P4/mmm, No. 123
* crystal system: tetragonal
* DFT total energy: -2.804 eV/atom
* ΔE_f (raw): -1245.6 meV per atom

Lattice parameters (Å, degrees): 6.4818 6.4818 5.9184 90.00 90.00 90.00
With the nearest neighbours (Å) after each atom.
Fractional coordinates of all 5 atoms:
Cs (0.0000, 0.5000, 0.0000)  2 Cl 3.24
Cs (0.5000, 0.0000, 0.0000)  2 Cl 3.24
K (0.0000, 0.0000, 0.5000)  2 Cl 2.96
Te (0.5000, 0.5000, 0.5000)  8 Cs 4.39, 4 K 4.58
Cl (0.0000, 0.0000, 0.0000)  2 K 2.96, 4 Cs 3.24